[1]
Below is CeTh3N after structural relaxation, with properties calculated at the PBE level.

As for the uncorrected energy: -7.893 eV/atom.

Unit cell a=5.0482 b=5.0482 c=5.0482 alpha=90.00 beta=90.00 gamma=90.00
Last column: magnetic moment on the atom in μB.
Element x y z (fractional)
Th 0.0000 0.5000 0.0000  0.01
Th 0.0000 0.0000 0.5000  0.01
Th 0.5000 0.0000 0.0000  0.01
Ce 0.5000 0.5000 0.5000  0.14
N 0.0000 0.0000 0.0000  0.00


[2]
Below is Pr2SmHoTm5 after structural relaxation, with properties calculated at the PBE level.

As for the formation energy: 0.268 eV per atom.

Unit cell a=8.6471 b=8.6471 c=9.8677 alpha=115.99 beta=115.99 gamma=90.00
Element x y z (fractional)
Tm 0.9276 0.4276 0.2797
Tm 0.1479 0.0724 0.7203
Tm 0.5724 0.6479 0.7203
Tm 0.5000 0.5000 0.0000
Tm 0.0724 0.5724 0.7203
Tm 0.6479 0.1479 0.7203
Tm 0.4276 0.3521 0.2797
Tm 0.0000 0.0000 0.0000
Tm 0.8521 0.9276 0.2797
Tm 0.3521 0.8521 0.2797
Ho 0.7500 0.2500 0.5000
Ho 0.2500 0.7500 0.5000
Sm 0.2500 0.2500 0.5000
Sm 0.7500 0.7500 0.5000
Pr 0.6176 0.1176 0.0000
Pr 0.8824 0.6176 0.0000
Pr 0.3824 0.8824 0.0000
Pr 0.1176 0.3824 0.0000


[3]
Below is ScSb2TeF after structural relaxation, with properties calculated at the PBE level.

The calculation puts the energy relative to the lowest polymorph listed for this composition at 0.255 eV per atom.

Unit cell a=5.4370 b=5.4370 c=5.3308 alpha=90.00 beta=90.00 gamma=90.00
Element x y z (fractional)
Sb 0.0000 0.5000 0.0000
Sb 0.5000 0.0000 0.0000
Te 0.0000 0.0000 0.5000
Sc 0.0000 0.0000 0.0000
F 0.5000 0.5000 0.5000


[4]
Below is Zn3SeF after structural relaxation, with properties calculated at the PBE level.

The calculation puts the energy relative to the lowest polymorph listed for this composition at 0.780 eV per atom.

Unit cell a=5.1430 b=5.1430 c=5.1430 alpha=90.00 beta=90.00 gamma=90.00
Element x y z (fractional)
Se 0.0000 0.0000 0.0000
Zn 0.0000 0.5000 0.0000
Zn 0.5000 0.0000 0.0000
Zn 0.0000 0.0000 0.5000
F 0.5000 0.5000 0.5000


[5]
Below is AcSmZnIr after structural relaxation, with properties calculated at the PBE level.

As for the formation energy: -0.410 eV per atom.

Unit cell a=5.2090 b=5.2090 c=5.2090 alpha=60.00 beta=60.00 gamma=60.00
Element x y z (fractional)
Ac 0.7500 0.7500 0.7500
Zn 0.0000 0.0000 0.0000
Sm 0.2500 0.2500 0.2500
Ir 0.5000 0.5000 0.5000


[6]
Below is Be5NbPd after structural relaxation, with properties calculated at the PBE level.

As for the formation energy: -0.293 eV per atom.

Unit cell a=4.2647 b=7.3989 c=9.1417 alpha=90.00 beta=90.00 gamma=90.00
Element x y z (fractional)
Be 0.7500 0.5380 0.6054
Be 0.4956 0.5607 0.8135
Be 0.7500 0.3005 0.7572
Be 0.2500 0.4620 0.3946
Be 0.7500 0.8005 0.7428
Be 0.7500 0.0380 0.8946
Be 0.7500 0.9257 0.5171
Be 0.5044 0.9393 0.3135
Be 0.5044 0.4393 0.1865
Be 0.2500 0.9620 0.1054
Be 0.0044 0.0607 0.6865
Be 0.2500 0.6995 0.2428
Be 0.2500 0.1995 0.2572
Be 0.7500 0.4257 0.9829
Be 0.0044 0.5607 0.8135
Be 0.2500 0.0743 0.4829
Be 0.2500 0.5743 0.0171
Be 0.9956 0.9393 0.3135
Be 0.9956 0.4393 0.1865
Be 0.4956 0.0607 0.6865
Nb 0.7500 0.7576 0.0653
Nb 0.2500 0.2424 0.9347
Nb 0.2500 0.7424 0.5653
Nb 0.7500 0.2576 0.4347
Pd 0.2500 0.3545 0.6361
Pd 0.2500 0.8545 0.8639
Pd 0.7500 0.6455 0.3639
Pd 0.7500 0.1455 0.1361


[7]
Below is Re2HgTe after structural relaxation, with properties calculated at the PBE level.

The calculation puts the energy relative to the lowest polymorph listed for this composition at 0.366 eV per atom.

Unit cell a=2.9291 b=2.9291 c=10.7664 alpha=90.00 beta=90.00 gamma=118.35
Element x y z (fractional)
Re 0.5000 0.5000 0.2220
Re 0.0000 0.0000 0.0325
Te 0.0000 0.0000 0.4593
Hg 0.5000 0.5000 0.7862


[8]
Below is TiReRh2 after structural relaxation, with properties calculated at the PBE level.

The calculation puts the energy relative to the lowest polymorph listed for this composition at 0.563 eV per atom. As for the formation energy: 0.181 eV per atom.

Unit cell a=3.8254 b=3.8254 c=9.1770 alpha=77.97 beta=77.97 gamma=90.00
Element x y z (fractional)
Re 0.7500 0.2500 0.5000
Re 0.0000 0.0000 0.0000
Rh 0.1245 0.6250 0.2500
Rh 0.3750 0.3745 0.7500
Rh 0.6255 0.1250 0.2500
Rh 0.8750 0.8755 0.7500
Ti 0.5000 0.5000 0.0000
Ti 0.2500 0.7500 0.5000